A relaxed Hf3NiPb crystal, computed with GGA-PBE.

The structure in POSCAR format:
```
Hf3NiPb
1.0
5.2743 0.0000 0.0000
0.0000 5.2743 0.0000
0.0000 0.0000 5.2743
Hf Ni Pb
3 1 1
Cartesian
0.0000 0.0000 2.6372
0.0000 2.6372 0.0000
2.6372 0.0000 0.0000
2.6372 2.6372 2.6372
0.0000 0.0000 0.0000
```

Output
- ΔH_f (0 K): 1.78 eV/atom
- Space group: Pm-3m
- Total DFT energy (no corrections): -6.093 eV per atom
- Crystal system: cubic